A relaxed structure of Ca2GdTl, computed with PBE.

a = 4.897 Å, b = 4.897 Å, c = 5.235 Å
α = 90.00°, β = 90.00°, γ = 90.00°
Fractional coordinates of all 4 atoms:
Ca (0.000, 0.500, 0.000)
Ca (0.500, 0.000, 0.000)
Gd (0.000, 0.000, 0.500)
Tl (0.500, 0.500, 0.500)

For the electronic total energy, the calculation gives -5.29 eV/atom. As for the energy above the lowest structure with this stoichiometry: 0.0 meV per atom. The calculation puts the formation enthalpy at 0 K at -0.176 eV per atom.